[1]
A relaxed structure of VGeRh4. Source: the Alexandria database, functional PBE.

Summary:
The calculation puts the density at 9.4 Mg/m³. As for the energy relative to the elements: -0.277 eV per atom. As for the calculated volume: 190 Å³/cell. The calculation puts the size of the total moment at 0.00 μB per formula unit.

CIF file:
```
data_VGeRh4
_symmetry_space_group_name_H-M 'C 1 2/m 1'
_symmetry_Int_Tables_number 12
_cell_length_a 7.0165
_cell_length_b 4.0596
_cell_length_c 7.0578
_cell_angle_alpha 90.00
_cell_angle_beta 109.40
_cell_angle_gamma 90.00
loop_
_symmetry_equiv_pos_as_xyz
'x,y,z'
'-x,-y,-z'
'-x,y,-z'
'x,-y,z'
'x+1/2,y+1/2,z'
'-x+1/2,-y+1/2,-z'
'-x+1/2,y+1/2,-z'
'x+1/2,-y+1/2,z'
loop_
_atom_site_label
_atom_site_fract_x
_atom_site_fract_y
_atom_site_fract_z
_atom_site_occupancy
V1 0.0000 0.0000 0.0000 1
Ge1 0.0000 0.5000 0.5000 1
Rh1 0.1234 0.0000 0.3709 1
Rh2 0.1247 0.5000 0.8748 1
```

---

[2]
A relaxed structure of V3GeRh. Source: the Alexandria database, functional PBE.

Summary:
For the energy relative to the lowest polymorph listed for this composition, the calculation gives 1.2651 eV per atom. The calculation puts the density at 6.3 Mg/m³. As for the energy relative to the elements: 0.994 eV per atom. As for the calculated volume: 86 Å³/cell. The calculation puts the size of the total moment at 1.00 μB per formula unit.

CIF file:
```
data_V3GeRh
_symmetry_space_group_name_H-M 'P m -3 m'
_symmetry_Int_Tables_number 221
_symmetry_space_group_name_Hall '-P 4 2 3'
_cell_length_a 4.4215
_cell_length_b 4.4215
_cell_length_c 4.4215
_cell_angle_alpha 90.00
_cell_angle_beta 90.00
_cell_angle_gamma 90.00
loop_
_atom_site_label
_atom_site_fract_x
_atom_site_fract_y
_atom_site_fract_z
_atom_site_occupancy
V1 0.0000 0.0000 0.5000 1
Ge1 0.0000 0.0000 0.0000 1
Rh1 0.5000 0.5000 0.5000 1
```

---

[3]
A relaxed structure of V5Ge6Rh. Source: the Alexandria database, functional PBE.

Summary:
The calculation puts the density at 7.5 Mg/m³. As for the energy relative to the elements: -0.061 eV per atom. As for the calculated volume: 351 Å³/cell. The calculation puts the size of the total moment at 0.00 μB per formula unit.

CIF file:
```
data_V5Ge6Rh
_symmetry_space_group_name_H-M 'C 1 2/m 1'
_symmetry_Int_Tables_number 12
_cell_length_a 8.3866
_cell_length_b 8.8026
_cell_length_c 4.8494
_cell_angle_alpha 90.00
_cell_angle_beta 100.97
_cell_angle_gamma 90.00
loop_
_symmetry_equiv_pos_as_xyz
'x,y,z'
'-x,-y,-z'
'-x,y,-z'
'x,-y,z'
'x+1/2,y+1/2,z'
'-x+1/2,-y+1/2,-z'
'-x+1/2,y+1/2,-z'
'x+1/2,-y+1/2,z'
loop_
_atom_site_label
_atom_site_fract_x
_atom_site_fract_y
_atom_site_fract_z
_atom_site_occupancy
V1 0.0000 0.0000 0.0000 1
V2 0.0000 0.1670 0.5000 1
V3 0.0000 0.3304 0.0000 1
Ge1 0.2466 0.5000 0.2418 1
Ge2 0.2477 0.3307 0.7465 1
Rh1 0.0000 0.5000 0.5000 1
```

---

[4]
A relaxed structure of V5GeRh6. Source: the Alexandria database, functional PBE.

Summary:
The calculation puts the density at 9.5 Mg/m³. As for the energy relative to the elements: -0.436 eV per atom. As for the calculated volume: 331 Å³/cell. The calculation puts the size of the total moment at 0.00 μB per formula unit.

CIF file:
```
data_V5GeRh6
_symmetry_space_group_name_H-M 'I m m m'
_symmetry_Int_Tables_number 71
_symmetry_space_group_name_Hall '-I 2 2'
_cell_length_a 3.9782
_cell_length_b 7.0615
_cell_length_c 11.7864
_cell_angle_alpha 90.00
_cell_angle_beta 90.00
_cell_angle_gamma 90.00
loop_
_atom_site_label
_atom_site_fract_x
_atom_site_fract_y
_atom_site_fract_z
_atom_site_occupancy
V1 0.0000 0.0000 0.0000 1
V2 0.0000 0.0000 0.3076 1
V3 0.0000 0.5000 0.3542 1
Ge1 0.0000 0.5000 0.0000 1
Rh1 0.0000 0.2228 0.5000 1
Rh2 0.0000 0.2663 0.1682 1
```

---

[5]
A relaxed structure of V3GeRh. Source: the Alexandria database, functional PBE.

Summary:
For the energy relative to the lowest polymorph listed for this composition, the calculation gives 1.2286 eV per atom. The calculation puts the density at 5.8 Mg/m³. As for the energy relative to the elements: 0.957 eV per atom. As for the calculated volume: 94 Å³/cell. The calculation puts the size of the total moment at 2.40 μB per formula unit.

CIF file:
```
data_V3GeRh
_symmetry_space_group_name_H-M 'P m -3 m'
_symmetry_Int_Tables_number 221
_symmetry_space_group_name_Hall '-P 4 2 3'
_cell_length_a 4.5535
_cell_length_b 4.5535
_cell_length_c 4.5535
_cell_angle_alpha 90.00
_cell_angle_beta 90.00
_cell_angle_gamma 90.00
loop_
_atom_site_label
_atom_site_fract_x
_atom_site_fract_y
_atom_site_fract_z
_atom_site_occupancy
V1 0.0000 0.0000 0.5000 1
Ge1 0.5000 0.5000 0.5000 1
Rh1 0.0000 0.0000 0.0000 1
```

---

[6]
A relaxed structure of V2GeRh. Source: the Alexandria database, functional PBE.

Summary:
The calculation puts the density at 8.4 Mg/m³. As for the energy relative to the elements: -0.342 eV per atom. As for the calculated volume: 55 Å³/cell. The calculation puts the size of the total moment at 0.00 μB per formula unit.

CIF file:
```
data_V2GeRh
_symmetry_space_group_name_H-M 'P 4/m m m'
_symmetry_Int_Tables_number 123
_symmetry_space_group_name_Hall '-P 4 2'
_cell_length_a 3.6564
_cell_length_b 3.6564
_cell_length_c 4.1116
_cell_angle_alpha 90.00
_cell_angle_beta 90.00
_cell_angle_gamma 90.00
loop_
_atom_site_label
_atom_site_fract_x
_atom_site_fract_y
_atom_site_fract_z
_atom_site_occupancy
V1 0.0000 0.5000 0.0000 1
Ge1 0.0000 0.0000 0.5000 1
Rh1 0.5000 0.5000 0.5000 1
```

---

[7]
A relaxed structure of V2GeRh. Source: the Alexandria database, functional PBE.

Summary:
The calculation puts the density at 8.4 Mg/m³. As for the energy relative to the elements: -0.381 eV per atom. As for the calculated volume: 110 Å³/cell. The calculation puts the size of the total moment at 0.00 μB per formula unit.

CIF file:
```
data_V2GeRh
_symmetry_space_group_name_H-M 'P 1 21/m 1'
_symmetry_Int_Tables_number 11
_cell_length_a 5.1167
_cell_length_b 4.2914
_cell_length_c 5.3623
_cell_angle_alpha 90.00
_cell_angle_beta 111.56
_cell_angle_gamma 90.00
loop_
_symmetry_equiv_pos_as_xyz
'x,y,z'
'-x,-y,-z'
'-x,y+1/2,-z'
'x,-y+1/2,z'
loop_
_atom_site_label
_atom_site_fract_x
_atom_site_fract_y
_atom_site_fract_z
_atom_site_occupancy
V1 0.1323 0.2500 0.3628 1
V2 0.3657 0.7500 0.6356 1
Ge1 0.3471 0.7500 0.1536 1
Rh1 0.1616 0.2500 0.8662 1
```

---

[8]
A relaxed structure of GeRhW2. Source: the Alexandria database, functional PBE.

Summary:
The calculation puts the density at 13.6 Mg/m³. As for the energy relative to the elements: 0.599 eV per atom. As for the calculated volume: 266 Å³/cell. The calculation puts the size of the total moment at 0.00 μB per formula unit.

CIF file:
```
data_GeRhW2
_symmetry_space_group_name_H-M 'I -4 2 d'
_symmetry_Int_Tables_number 122
_symmetry_space_group_name_Hall 'I -4 2bw'
_cell_length_a 7.0238
_cell_length_b 7.0238
_cell_length_c 5.3915
_cell_angle_alpha 90.00
_cell_angle_beta 90.00
_cell_angle_gamma 90.00
loop_
_atom_site_label
_atom_site_fract_x
_atom_site_fract_y
_atom_site_fract_z
_atom_site_occupancy
Ge1 0.0000 0.0000 0.0000 1
Rh1 0.0000 0.0000 0.5000 1
W1 0.2492 0.7500 0.6250 1
```

---

- Which of these has the highest size of the total moment?
  number 5

---

- size of the total moment of number 3 (V5Ge6Rh)?
  0.00 μB per formula unit